Record 1
K4RhW: relaxed, GGA-PBE.

abc: 6.4898 6.4898 6.4898
angles: 60.00 60.00 60.00
Each line ends with the local moment (μB).
Sites, in units of the cell vectors:
K1 0.8728 0.3757 0.3757  0.01
K2 0.3757 0.3757 0.8728  0.01
K3 0.3757 0.8728 0.3757  0.01
K4 0.3757 0.3757 0.3757  0.01
Rh1 0.7500 0.7500 0.7500  0.54
W1 0.0000 0.0000 0.0000  3.11

Computed properties:
raw total energy = -2.471 eV per atom
crystal system = cubic

***

Record 2
K2RhW: relaxed, GGA-PBE.

abc: 6.4641 6.4641 6.4641
angles: 145.57 145.57 49.48
Sites, in units of the cell vectors:
K1 0.0000 0.0000 0.0000
K2 0.5000 0.5000 0.0000
Rh1 0.2500 0.7500 0.5000
W1 0.7500 0.2500 0.5000

Computed properties:
relative energy among the computed polymorphs = 2.29 eV per formula unit
crystal system = tetragonal

***

Record 3
KRhW2: relaxed, GGA-PBE.

abc: 5.8768 5.8768 5.8768
angles: 151.28 124.14 64.01
Each line ends with the local moment (μB).
Sites, in units of the cell vectors:
K1 0.4958 0.4958 0.0000  0.02
Rh1 0.2126 0.7126 0.5000  0.01
W1 0.9991 0.9991 0.0000  0.28
W2 0.7926 0.2926 0.5000  -0.01

Computed properties:
relative energy among the computed polymorphs = 2.37 eV per formula unit
crystal system = orthorhombic

***

Record 4
K2RhW: relaxed, GGA-PBE.

abc: 2.9364 3.9984 10.3934
angles: 90.00 90.00 90.00
Sites, in units of the cell vectors:
K1 0.0000 0.0000 0.9164
K2 0.5000 0.5000 0.3380
Rh1 0.0000 0.0000 0.5873
W1 0.5000 0.5000 0.6582

Computed properties:
relative energy among the computed polymorphs = 0.00 eV per formula unit
crystal system = orthorhombic

***

Record 5
KRhW2: relaxed, GGA-PBE.

abc: 3.0786 2.8446 9.5859
angles: 76.95 90.00 90.00
Sites, in units of the cell vectors:
K1 0.0000 0.4253 0.5245
Rh1 0.5000 0.7088 0.8084
W1 0.0000 0.0892 0.9854
W2 0.5000 0.2767 0.1817

Computed properties:
relative energy among the computed polymorphs = 0.16 eV per formula unit
crystal system = monoclinic

***

Record 6
KRhW2: relaxed, GGA-PBE.

abc: 10.9257 10.9257 10.9257
angles: 14.85 14.85 14.85
Sites, in units of the cell vectors:
K1 0.2500 0.2500 0.2500
Rh1 0.7500 0.7500 0.7500
W1 0.0149 0.0149 0.0149
W2 0.4851 0.4851 0.4851

Computed properties:
relative energy among the computed polymorphs = 0.73 eV per formula unit
crystal system = trigonal

***

Record 7
KY2Rh: relaxed, GGA-PBE.

abc: 3.8335 4.0511 9.2912
angles: 77.34 90.00 90.00
Sites, in units of the cell vectors:
K1 0.0000 0.6681 0.5363
Rh1 0.5000 0.4984 0.8802
Y1 0.0000 0.9816 0.9133
Y2 0.5000 0.3519 0.1703

Computed properties:
relative energy among the computed polymorphs = 0.63 eV per formula unit
crystal system = monoclinic

***

Record 8
KY2Rh: relaxed, GGA-PBE.

abc: 5.0410 5.0410 4.1355
angles: 90.00 90.00 90.06
Sites, in units of the cell vectors:
K1 0.5000 0.0000 0.5000
Rh1 0.0000 0.5000 0.5000
Y1 0.0000 0.0000 0.0000
Y2 0.5000 0.5000 0.0000

Computed properties:
relative energy among the computed polymorphs = 2.57 eV per formula unit
crystal system = orthorhombic